# 1
A plane-wave DFT calculation with PBE was carried out for a relaxed S crystal.

DOS at the Fermi energy	0.00	states/eV/f.u.

Unit cell a=5.710 b=8.689 c=6.029 alpha=90.00 beta=120.38 gamma=90.00
Sites, in units of the cell vectors:
S (0.341, 0.090, 0.439)
S (0.159, 0.090, 0.061)
S (0.659, 0.910, 0.561)
S (0.841, 0.910, 0.939)
S (0.341, 0.590, 0.939)
S (0.159, 0.590, 0.561)
S (0.659, 0.410, 0.061)
S (0.841, 0.410, 0.439)


# 2
A plane-wave DFT calculation with PBE was carried out for a relaxed S crystal.

DOS at the Fermi energy	0.27	states/eV/f.u.

Unit cell a=6.109 b=3.199 c=5.520 alpha=90.00 beta=115.18 gamma=90.00
Sites, in units of the cell vectors:
S (0.670, 0.000, 0.580)
S (0.330, 0.000, 0.420)
S (0.670, 0.500, 0.080)
S (0.330, 0.500, 0.920)


# 3
A plane-wave DFT calculation with PBE was carried out for a relaxed S crystal.

DOS at the Fermi energy	0.33	states/eV/f.u.

Unit cell a=6.564 b=3.532 c=4.699 alpha=90.00 beta=90.00 gamma=90.00
Sites, in units of the cell vectors:
S (0.663, 0.250, 0.750)
S (0.837, 0.750, 0.750)
S (0.163, 0.250, 0.250)
S (0.337, 0.750, 0.250)


# 4
A plane-wave DFT calculation with PBE was carried out for a relaxed S crystal.

DOS at the Fermi energy	0.00	states/eV/f.u.

Unit cell a=5.420 b=9.493 c=15.935 alpha=90.00 beta=90.00 gamma=90.00
Sites, in units of the cell vectors:
S (0.978, 0.305, 0.894)
S (0.500, 0.500, 0.287)
S (0.222, 0.745, 0.000)
S (0.022, 0.695, 0.106)
S (0.802, 0.866, 0.863)
S (0.522, 0.805, 0.606)
S (0.302, 0.634, 0.637)
S (0.500, 0.500, 0.713)
S (0.478, 0.195, 0.394)
S (0.522, 0.805, 0.394)
S (0.302, 0.634, 0.363)
S (0.698, 0.366, 0.363)
S (0.278, 0.245, 0.500)
S (0.000, 0.000, 0.213)
S (0.000, 0.000, 0.787)
S (0.198, 0.134, 0.137)
S (0.478, 0.195, 0.606)
S (0.022, 0.695, 0.894)
S (0.198, 0.134, 0.863)
S (0.698, 0.366, 0.637)
S (0.722, 0.755, 0.500)
S (0.802, 0.866, 0.137)
S (0.978, 0.305, 0.106)
S (0.778, 0.255, 0.000)


# 5
A plane-wave DFT calculation with PBE was carried out for a relaxed S crystal.

DOS at the Fermi energy	0.00	states/eV/f.u.

Unit cell a=5.448 b=5.451 c=4.527 alpha=87.67 beta=92.33 gamma=143.61
Sites, in units of the cell vectors:
S (0.572, 0.428, 0.663)
S (0.428, 0.572, 0.337)
S (0.000, 0.000, 0.000)


# 6
A plane-wave DFT calculation with PBE was carried out for a relaxed S crystal.

DOS at the Fermi energy	0.00	states/eV/f.u.

Unit cell a=11.288 b=11.288 c=5.941 alpha=90.00 beta=90.00 gamma=120.00
Sites, in units of the cell vectors:
S (0.954, 0.608, 0.506)
S (0.254, 0.410, 0.567)
S (0.156, 0.746, 0.567)
S (0.590, 0.844, 0.567)
S (0.054, 0.266, 0.503)
S (0.392, 0.346, 0.506)
S (0.412, 0.923, 0.104)
S (0.654, 0.046, 0.506)
S (0.714, 0.726, 0.165)
S (0.077, 0.489, 0.104)
S (0.212, 0.946, 0.503)
S (0.274, 0.988, 0.165)
S (0.511, 0.588, 0.104)
S (0.012, 0.286, 0.165)
S (0.734, 0.788, 0.503)
S (0.933, 0.545, 0.169)
S (0.455, 0.388, 0.169)
S (0.612, 0.067, 0.169)


# 7
A plane-wave DFT calculation with PBE was carried out for a relaxed S crystal.

DOS at the Fermi energy	0.15	states/eV/f.u.

Unit cell a=3.076 b=3.076 c=5.808 alpha=75.43 beta=74.98 gamma=90.15
Sites, in units of the cell vectors:
S (0.415, 0.417, 0.674)
S (0.585, 0.583, 0.326)


# 8
A plane-wave DFT calculation with PBE was carried out for a relaxed S crystal.

DOS at the Fermi energy	0.00	states/eV/f.u.

Unit cell a=14.722 b=14.147 c=9.620 alpha=73.80 beta=67.34 gamma=38.86
Sites, in units of the cell vectors:
S (0.882, 0.778, 0.754)
S (0.585, 0.754, 0.778)
S (0.754, 0.585, 0.882)
S (0.778, 0.882, 0.585)
S (0.368, 0.472, 0.496)
S (0.665, 0.496, 0.472)
S (0.496, 0.665, 0.368)
S (0.472, 0.368, 0.665)
S (0.832, 0.930, 0.857)
S (0.382, 0.857, 0.930)
S (0.857, 0.382, 0.832)
S (0.930, 0.832, 0.382)
S (0.418, 0.320, 0.393)
S (0.868, 0.393, 0.320)
S (0.393, 0.868, 0.418)
S (0.320, 0.418, 0.868)
S (0.005, 0.899, 0.766)
S (0.329, 0.766, 0.899)
S (0.766, 0.329, 0.005)
S (0.899, 0.005, 0.329)
S (0.245, 0.351, 0.484)
S (0.921, 0.484, 0.351)
S (0.484, 0.921, 0.245)
S (0.351, 0.245, 0.921)
S (0.953, 0.053, 0.601)
S (0.393, 0.601, 0.053)
S (0.601, 0.393, 0.953)
S (0.053, 0.953, 0.393)
S (0.297, 0.197, 0.649)
S (0.857, 0.649, 0.197)
S (0.649, 0.857, 0.297)
S (0.197, 0.297, 0.857)


# 9
A plane-wave DFT calculation with PBE was carried out for a relaxed S crystal.

DOS at the Fermi energy	0.00	states/eV/f.u.

Unit cell a=5.951 b=3.936 c=5.956 alpha=90.00 beta=119.59 gamma=90.00
Sites, in units of the cell vectors:
S (0.928, 0.250, 0.682)
S (0.072, 0.750, 0.318)
S (0.749, 0.250, 0.317)
S (0.251, 0.750, 0.683)


# 10
A plane-wave DFT calculation with PBE was carried out for a relaxed S crystal.

DOS at the Fermi energy	0.00	states/eV/f.u.

Unit cell a=7.309 b=7.361 c=7.569 alpha=67.25 beta=67.93 gamma=61.90
Sites, in units of the cell vectors:
S (0.372, 0.260, 0.916)
S (0.238, 0.121, 0.582)
S (0.762, 0.879, 0.418)
S (0.628, 0.740, 0.084)
S (0.668, 0.110, 0.809)
S (0.152, 0.340, 0.748)
S (0.396, 0.827, 0.692)
S (0.604, 0.173, 0.308)
S (0.848, 0.660, 0.252)
S (0.332, 0.890, 0.191)


# 11
A plane-wave DFT calculation with PBE was carried out for a relaxed S crystal.

DOS at the Fermi energy	0.00	states/eV/f.u.

Unit cell a=13.724 b=9.250 c=10.651 alpha=57.50 beta=90.00 gamma=90.00
Sites, in units of the cell vectors:
S (0.350, 0.368, 0.321)
S (0.350, 0.632, 0.179)
S (0.650, 0.632, 0.679)
S (0.650, 0.368, 0.821)
S (0.577, 0.216, 0.347)
S (0.577, 0.784, 0.153)
S (0.423, 0.784, 0.653)
S (0.423, 0.216, 0.847)
S (0.444, 0.263, 0.240)
S (0.444, 0.737, 0.260)
S (0.556, 0.737, 0.760)
S (0.556, 0.263, 0.740)
S (0.671, 0.415, 0.215)
S (0.671, 0.585, 0.285)
S (0.329, 0.585, 0.785)
S (0.329, 0.415, 0.715)
S (0.797, 0.912, 0.863)
S (0.797, 0.088, 0.637)
S (0.203, 0.088, 0.137)
S (0.203, 0.912, 0.363)
S (0.023, 0.757, 0.977)
S (0.023, 0.243, 0.523)
S (0.977, 0.243, 0.023)
S (0.977, 0.757, 0.477)
S (0.891, 0.714, 0.912)
S (0.891, 0.286, 0.588)
S (0.109, 0.286, 0.088)
S (0.109, 0.714, 0.412)
S (0.117, 0.869, 0.798)
S (0.117, 0.131, 0.702)
S (0.883, 0.131, 0.202)
S (0.883, 0.869, 0.298)


# 12
A plane-wave DFT calculation with PBE was carried out for a relaxed S crystal.

DOS at the Fermi energy	0.00	states/eV/f.u.

Unit cell a=5.728 b=5.733 c=5.717 alpha=89.94 beta=90.07 gamma=139.77
Sites, in units of the cell vectors:
S (0.412, 0.087, 0.668)
S (0.588, 0.913, 0.668)
S (0.912, 0.587, 0.332)
S (0.088, 0.413, 0.332)


# 13
A plane-wave DFT calculation with PBE was carried out for a relaxed S crystal.

DOS at the Fermi energy	0.68	states/eV/f.u.

Unit cell a=9.532 b=4.431 c=2.525 alpha=90.00 beta=90.00 gamma=90.00
Sites, in units of the cell vectors:
S (0.105, 0.000, 0.000)
S (0.895, 0.000, 0.000)
S (0.605, 0.500, 0.000)
S (0.395, 0.500, 0.000)


# 14
A plane-wave DFT calculation with PBE was carried out for a relaxed S crystal.

DOS at the Fermi energy	1.14	states/eV/f.u.

Unit cell a=2.729 b=2.729 c=2.729 alpha=109.47 beta=109.47 gamma=109.47
Sites, in units of the cell vectors:
S (0.000, 0.000, 0.000)


# 15
A plane-wave DFT calculation with PBE was carried out for a relaxed S crystal.

DOS at the Fermi energy	0.57	states/eV/f.u.

Unit cell a=9.801 b=9.801 c=4.526 alpha=90.00 beta=90.00 gamma=120.00
Sites, in units of the cell vectors:
S (0.759, 0.130, 0.250)
S (0.628, 0.759, 0.750)
S (0.870, 0.628, 0.250)
S (0.241, 0.870, 0.750)
S (0.372, 0.241, 0.250)
S (0.130, 0.372, 0.750)
S (0.935, 0.341, 0.250)
S (0.594, 0.935, 0.750)
S (0.659, 0.594, 0.250)
S (0.065, 0.659, 0.750)
S (0.406, 0.065, 0.250)
S (0.341, 0.406, 0.750)


# 16
A plane-wave DFT calculation with PBE was carried out for a relaxed S crystal.

DOS at the Fermi energy	0.00	states/eV/f.u.

Unit cell a=12.472 b=20.221 c=5.175 alpha=90.00 beta=90.00 gamma=90.00
Sites, in units of the cell vectors:
S (0.341, 0.000, 0.000)
S (0.659, 0.000, 0.000)
S (0.909, 0.750, 0.250)
S (0.591, 0.750, 0.250)
S (0.341, 0.500, 0.500)
S (0.659, 0.500, 0.500)
S (0.909, 0.250, 0.750)
S (0.591, 0.250, 0.750)
S (0.841, 0.000, 0.500)
S (0.159, 0.000, 0.500)
S (0.409, 0.750, 0.750)
S (0.091, 0.750, 0.750)
S (0.841, 0.500, 0.000)
S (0.159, 0.500, 0.000)
S (0.409, 0.250, 0.250)
S (0.091, 0.250, 0.250)
S (0.000, 0.694, 0.000)
S (0.000, 0.306, 0.000)
S (0.250, 0.056, 0.250)
S (0.250, 0.444, 0.250)
S (0.000, 0.194, 0.500)
S (0.000, 0.806, 0.500)
S (0.250, 0.556, 0.750)
S (0.250, 0.944, 0.750)
S (0.500, 0.694, 0.500)
S (0.500, 0.306, 0.500)
S (0.750, 0.056, 0.750)
S (0.750, 0.444, 0.750)
S (0.500, 0.194, 0.000)
S (0.500, 0.806, 0.000)
S (0.750, 0.556, 0.250)
S (0.750, 0.944, 0.250)


# 17
A plane-wave DFT calculation with PBE was carried out for a relaxed S crystal.

Unit cell a=4.421 b=5.403 c=6.680 alpha=105.47 beta=101.95 gamma=108.40
Sites, in units of the cell vectors:
S (0.776, 0.854, 0.530)
S (0.224, 0.146, 0.470)
S (0.689, 0.078, 0.769)
S (0.311, 0.922, 0.231)


# 18
A plane-wave DFT calculation with PBE was carried out for a relaxed S crystal.

DOS at the Fermi energy	0.00	states/eV/f.u.

Unit cell a=9.896 b=14.282 c=19.568 alpha=90.00 beta=90.00 gamma=90.00
Sites, in units of the cell vectors:
S (0.709, 0.014, 0.452)
S (0.371, 0.270, 0.759)
S (0.235, 0.694, 0.448)
S (0.765, 0.306, 0.552)
S (0.456, 0.204, 0.675)
S (0.910, 0.904, 0.925)
S (0.791, 0.014, 0.548)
S (0.209, 0.986, 0.452)
S (0.410, 0.596, 0.575)
S (0.291, 0.486, 0.952)
S (0.265, 0.194, 0.948)
S (0.129, 0.770, 0.259)
S (0.195, 0.588, 0.895)
S (0.314, 0.207, 0.598)
S (0.129, 0.270, 0.241)
S (0.692, 0.527, 0.403)
S (0.808, 0.527, 0.597)
S (0.192, 0.473, 0.403)
S (0.086, 0.911, 0.253)
S (0.305, 0.088, 0.395)
S (0.265, 0.694, 0.552)
S (0.735, 0.306, 0.448)
S (0.371, 0.770, 0.741)
S (0.410, 0.096, 0.925)
S (0.258, 0.975, 0.800)
S (0.544, 0.796, 0.325)
S (0.956, 0.796, 0.675)
S (0.235, 0.194, 0.052)
S (0.242, 0.475, 0.300)
S (0.291, 0.986, 0.548)
S (0.192, 0.973, 0.097)
S (0.209, 0.486, 0.048)
S (0.305, 0.588, 0.105)
S (0.456, 0.704, 0.825)
S (0.791, 0.514, 0.952)
S (0.695, 0.912, 0.605)
S (0.686, 0.793, 0.402)
S (0.414, 0.911, 0.747)
S (0.314, 0.707, 0.902)
S (0.686, 0.293, 0.098)
S (0.044, 0.704, 0.175)
S (0.195, 0.088, 0.605)
S (0.258, 0.475, 0.700)
S (0.735, 0.806, 0.052)
S (0.910, 0.404, 0.575)
S (0.871, 0.730, 0.759)
S (0.090, 0.096, 0.075)
S (0.044, 0.204, 0.325)
S (0.914, 0.089, 0.747)
S (0.709, 0.514, 0.048)
S (0.765, 0.806, 0.948)
S (0.695, 0.412, 0.895)
S (0.692, 0.027, 0.097)
S (0.629, 0.730, 0.241)
S (0.308, 0.473, 0.597)
S (0.814, 0.793, 0.598)
S (0.742, 0.025, 0.200)
S (0.805, 0.412, 0.105)
S (0.308, 0.973, 0.903)
S (0.814, 0.293, 0.902)
S (0.590, 0.904, 0.075)
S (0.742, 0.525, 0.300)
S (0.242, 0.975, 0.200)
S (0.758, 0.025, 0.800)
S (0.186, 0.207, 0.402)
S (0.586, 0.089, 0.253)
S (0.758, 0.525, 0.700)
S (0.186, 0.707, 0.098)
S (0.956, 0.296, 0.825)
S (0.090, 0.596, 0.425)
S (0.544, 0.296, 0.175)
S (0.914, 0.589, 0.753)
S (0.808, 0.027, 0.903)
S (0.629, 0.230, 0.259)
S (0.590, 0.404, 0.425)
S (0.586, 0.589, 0.247)
S (0.805, 0.912, 0.395)
S (0.871, 0.230, 0.741)
S (0.414, 0.411, 0.753)
S (0.086, 0.411, 0.247)


Number 1: ΔE_f (raw) 0.083 eV per atom, total magnetic moment 0.00 μB/cell. Number 2: ΔE_f (raw) 0.195 eV per atom, total magnetic moment 0.00 μB/cell. Number 3: ΔE_f (raw) 0.334 eV per atom, total magnetic moment 0.00 μB/cell. Number 4: ΔE_f (raw) 0.015 eV per atom, total magnetic moment 0.00 μB/cell. Number 5: ΔE_f (raw) 0.292 eV per atom, total magnetic moment 0.00 μB/cell. Number 6: ΔE_f (raw) 0.040 eV per atom, total magnetic moment 0.00 μB/cell. Number 7: ΔE_f (raw) 0.190 eV per atom, total magnetic moment 0.00 μB/cell. Number 8: ΔE_f (raw) 0.001 eV per atom, total magnetic moment 0.00 μB/cell. Number 9: ΔE_f (raw) 0.062 eV per atom, total magnetic moment 0.00 μB/cell. Number 10: ΔE_f (raw) 0.196 eV per atom, total magnetic moment 0.00 μB/cell. Number 11: ΔE_f (raw) 0.000 eV per atom, total magnetic moment 0.00 μB/cell. Number 12: ΔE_f (raw) 0.066 eV per atom, total magnetic moment 0.00 μB/cell. Number 13: ΔE_f (raw) 0.318 eV per atom, total magnetic moment 0.00 μB/cell. Number 14: ΔE_f (raw) 1.152 eV per atom, total magnetic moment 0.00 μB/cell. Number 15: ΔE_f (raw) 0.369 eV per atom, total magnetic moment 0.00 μB/cell. Number 16: ΔE_f (raw) 0.036 eV per atom, total magnetic moment 0.00 μB/cell. Number 17: ΔE_f (raw) 0.126 eV per atom, total magnetic moment 0.00 μB/cell. Number 18: ΔE_f (raw) 0.013 eV per atom, total magnetic moment 0.00 μB/cell.